Entry 1:
The following is a DFT calculation (PBE) of a geometry-optimized KAgRh3 structure.

Calculated values
E above lowest polymorph = 0.743 eV per atom
V = 21.147 Å³ per atom
Formation enthalpy at 0 K = 2.1616 eV per atom

a = 4.729 Å, b = 4.729 Å, c = 4.729 Å
α = 90.00°, β = 90.00°, γ = 90.00°
Space group Pm-3m (No. 221)
Unique sites:
K  0.000  0.000  0.000 x1
Ag  0.500  0.500  0.500 x1
Rh  0.000  0.000  0.500 x3

=====

Entry 2:
The following is a DFT calculation (PBE) of a geometry-optimized Hg2Pd5Pb2 structure.

Calculated values
V = 19.412 Å³ per atom
Formation enthalpy at 0 K = -0.1112 eV per atom

a = 12.548 Å, b = 4.341 Å, c = 6.789 Å
α = 90.00°, β = 109.12°, γ = 90.00°
Space group C2/m (No. 12)
Unique sites:
Hg  0.207  0.000  0.344 x4
Pd  0.000  0.000  0.000 x2
Pd  0.066  0.500  0.366 x4
Pd  0.103  0.000  0.670 x4
Pb  0.140  0.500  0.961 x4

=====

Repeat the first record exactly.
The following is a DFT calculation (PBE) of a geometry-optimized KAgRh3 structure.

Calculated values
E above lowest polymorph = 0.743 eV per atom
V = 21.147 Å³ per atom
Formation enthalpy at 0 K = 2.1616 eV per atom

a = 4.729 Å, b = 4.729 Å, c = 4.729 Å
α = 90.00°, β = 90.00°, γ = 90.00°
Space group Pm-3m (No. 221)
Unique sites:
K  0.000  0.000  0.000 x1
Ag  0.500  0.500  0.500 x1
Rh  0.000  0.000  0.500 x3